Record 1
First-principles (PBE) data for Ta2CoPb after structural relaxation, as listed in the Alexandria database.

**Symmetry**: No. 47
**Crystal system**: orthorhombic
**E_form**: 385 meV/atom
**Total magnetic moment**: 0.73 μB per cell

Structure (POSCAR):
```
Ta2CoPb
1.0
2.9782 0.0000 0.0000
0.0000 3.8885 0.0000
0.0000 0.0000 6.1809
Ta Co Pb
2 1 1
Cartesian
0.0000 0.0000 0.2391
0.0000 0.0000 2.8513
1.4891 1.9442 1.5452
1.4891 1.9442 4.6357
```



Record 2
First-principles (PBE) data for BeIrPb2 after structural relaxation, as listed in the Alexandria database.

**Symmetry**: No. 44
**Crystal system**: orthorhombic
**E_form**: 221 meV/atom
**Total magnetic moment**: 0.00 μB per cell

Structure (POSCAR):
```
BeIrPb2
1.0
7.1041 0.0634 -0.0415
5.0924 4.9537 0.0415
-6.0643 -2.5910 2.6428
Pb Ir Be
2 1 1
Cartesian
3.4362 -0.0641 1.3007
0.0642 0.0264 0.0000
3.5957 2.8604 1.3421
5.1324 2.1113 0.0000
```



Record 3
First-principles (PBE) data for Ba5Ag4 after structural relaxation, as listed in the Alexandria database.

**Symmetry**: No. 193
**Crystal system**: hexagonal
**E_form**: -175 meV/atom
**Total magnetic moment**: 0.00 μB per cell

Structure (POSCAR):
```
Ba5Ag4
1.0
10.2512 0.0000 0.0000
-5.1256 8.8778 0.0000
0.0000 0.0000 7.8306
Ba Ag
10 8
Cartesian
5.1256 2.9593 3.9153
0.0000 5.9185 3.9153
0.0000 5.9185 0.0000
-3.7714 6.5323 1.9576
-1.3542 2.3455 5.8729
5.1256 2.9593 0.0000
7.5428 0.0000 1.9576
2.7084 0.0000 5.8729
1.3542 2.3455 1.9576
3.7714 6.5323 5.8729
-3.1057 5.3793 5.8729
0.0000 0.0000 0.0000
4.0398 0.0000 1.9576
6.2114 0.0000 5.8729
3.1057 5.3793 1.9576
0.0000 0.0000 3.9153
-2.0199 3.4985 1.9576
2.0199 3.4985 5.8729
```